The following is a GGA-PBE calculation of a relaxed structure of DyErB4, from Alexandria via LeMat-Bulk.

```
DyErB4
1.0
-1.776 1.776 5.750
1.776 -1.776 5.750
1.776 1.776 -5.750
Dy Er B
1 1 4
Direct
0.000 0.000 0.000 Dy
0.250 0.750 0.500 Er
0.421 0.421 0.000 B
0.579 0.579 0.000 B
0.672 0.172 0.500 B
0.828 0.328 0.500 B
```

Computed properties:
space group	No. 119
magnetic moment	0.00	Bohr magnetons per cell
electronic total energy	-6.42	eV per atom
energy of formation	-42.67	kJ per mole of atoms


The following is a GGA-PBE calculation of a relaxed structure of DyErB12, from Alexandria via LeMat-Bulk.

```
DyErB12
1.0
4.090 0.000 0.000
0.000 4.090 0.000
0.000 0.000 8.184
Dy Er B
1 1 12
Direct
0.000 0.000 0.000 Dy
0.000 0.000 0.500 Er
0.199 0.500 0.250 B
0.199 0.500 0.750 B
0.500 0.199 0.250 B
0.500 0.199 0.750 B
0.500 0.500 0.099 B
0.500 0.500 0.401 B
0.500 0.500 0.599 B
0.500 0.500 0.901 B
0.500 0.801 0.250 B
0.500 0.801 0.750 B
0.801 0.500 0.250 B
0.801 0.500 0.750 B
```

Computed properties:
space group	No. 123
magnetic moment	0.00	Bohr magnetons per cell
electronic total energy	-6.76	eV per atom
energy of formation	-36.97	kJ per mole of atoms